1.
Entry from Alexandria: a geometry-optimized K2CdAu2 structure (PBE).

The structure in extended XYZ format:
```
10
Lattice="5.005 0.000 0.000 0.000 5.675 0.000 0.000 0.000 10.493" Properties=species:S:1:pos:R:3 pbc="T T T"
K 0.000 0.000 2.094
K 0.000 0.000 8.400
K 2.502 2.838 3.153
K 2.502 2.838 7.340
Cd 0.000 2.838 0.000
Cd 2.502 0.000 5.247
Au 0.000 1.448 5.247
Au 0.000 4.227 5.247
Au 2.502 1.389 0.000
Au 2.502 4.286 0.000
```

## Properties
Final energy   -11.094 eV/f.u.
Symmetry   Immm (71)
Formation energy   -0.29 eV/atom
Mass density   6.51 Mg/m³
Energy relative to the lowest polymorph listed for this composition   0.9 meV/atom

---

2.
Entry from Alexandria: a geometry-optimized CaAcP2 structure (PBE).

The structure in extended XYZ format:
```
12
Lattice="4.395 0.000 0.000 -2.197 3.806 0.000 0.000 0.000 20.270" Properties=species:S:1:pos:R:3 pbc="T T T"
Ca 0.000 0.000 0.000
Ca 0.000 2.537 13.513
Ca 2.197 1.269 6.757
Ac 0.000 0.000 10.135
Ac 0.000 2.537 3.378
Ac 2.197 1.269 16.891
P 0.000 0.000 5.137
P 0.000 0.000 15.133
P 0.000 2.537 8.376
P 0.000 2.537 18.650
P 2.197 1.269 1.620
P 2.197 1.269 11.893
```

## Properties
Final energy   -21.230 eV/f.u.
Symmetry   R-3m (166)
Formation energy   -1.07 eV/atom
Mass density   4.83 Mg/m³
Energy relative to the lowest polymorph listed for this composition   0.0 meV/atom

---

3.
Entry from Alexandria: a geometry-optimized TiReMo structure (PBE).

The structure in extended XYZ format:
```
12
Lattice="9.482 0.000 0.000 0.000 2.960 0.000 0.000 0.000 6.969" Properties=species:S:1:pos:R:3 pbc="T T T"
Ti 1.368 0.740 1.566
Ti 3.372 2.220 5.051
Ti 6.109 0.740 1.919
Ti 8.113 2.220 5.403
Re 1.092 2.220 3.745
Re 3.649 0.740 0.260
Re 5.833 2.220 6.709
Re 8.390 0.740 3.224
Mo 0.978 0.740 5.961
Mo 3.763 2.220 2.477
Mo 5.718 0.740 4.493
Mo 8.504 2.220 1.008
```

## Properties
Final energy   -30.590 eV/f.u.
Symmetry   Pnma (62)
Formation energy   0.19 eV/atom
Mass density   11.21 Mg/m³
Energy relative to the lowest polymorph listed for this composition   461.4 meV/atom

---

4.
Entry from Alexandria: a geometry-optimized Zn2NiSb structure (PBE).

The structure in extended XYZ format:
```
8
Lattice="5.113 0.000 0.000 0.000 6.621 0.000 0.000 0.000 3.938" Properties=species:S:1:pos:R:3 pbc="T T T"
Zn 1.278 1.655 0.000
Zn 1.278 4.966 0.000
Zn 3.835 1.655 0.000
Zn 3.835 4.966 0.000
Ni 0.000 0.000 1.969
Ni 2.556 3.311 1.969
Sb 0.000 3.311 1.969
Sb 2.556 0.000 1.969
```

## Properties
Final energy   -12.115 eV/f.u.
E_form (uncorrected)   0.0842 eV/atom
Symmetry   Cmmm (65)
Mass density   7.75 Mg/m³

---

5.
Entry from Alexandria: a geometry-optimized ErTm3Th4 structure (PBE).

The structure in extended XYZ format:
```
16
Lattice="11.580 0.000 0.000 0.000 7.074 0.000 0.000 0.000 6.177" Properties=species:S:1:pos:R:3 pbc="T T T"
Er 0.000 0.896 0.000
Er 5.790 6.177 3.088
Tm 0.000 6.183 3.091
Tm 2.893 0.893 2.117
Tm 2.897 6.180 5.205
Tm 5.790 0.891 0.003
Tm 8.687 0.893 2.117
Tm 8.683 6.180 5.205
Th 0.000 2.693 3.130
Th 0.000 4.393 0.043
Th 2.897 2.688 5.161
Th 2.893 4.385 2.073
Th 5.790 2.681 3.132
Th 5.790 4.381 0.042
Th 8.683 2.688 5.161
Th 8.687 4.385 2.073
```

## Properties
Final energy   -47.271 eV/f.u.
Symmetry   Pmn2_1 (31)
Formation energy   0.05 eV/atom
Mass density   10.52 Mg/m³
Energy relative to the lowest polymorph listed for this composition   0.0 meV/atom

---

6.
Entry from Alexandria: a geometry-optimized PaFe3H6 structure (PBE).

The structure in extended XYZ format:
```
10
Lattice="2.252 1.300 4.491 -2.252 1.300 4.491 0.000 -2.600 4.491" Properties=species:S:1:pos:R:3 pbc="T T T"
Pa 0.000 0.000 0.000
Fe 0.000 0.000 2.268
Fe 0.000 0.000 6.040
Fe 0.000 0.000 10.632
H -1.150 -0.648 5.002
H -0.778 -1.145 7.102
H 1.137 -0.672 5.002
H 0.014 1.320 5.002
H -0.602 1.246 7.102
H 1.380 -0.101 7.102
```

## Properties
Final energy   -56.450 eV/f.u.
Symmetry   R3 (146)
Mass density   8.52 Mg/m³